No. 1
NaCrN2 | PBE | optimized geometry

a = 7.1441 Å, b = 7.1441 Å, c = 7.1441 Å
α = 23.78°, β = 23.78°, γ = 23.78°
Positions (direct):
N: 0.0828 0.0828 0.0828
Na: 0.5000 0.5000 0.5000
N: 0.9172 0.9172 0.9172
Cr: 0.0000 0.0000 0.0000

Summary:
The value obtained for the energy above the most stable polymorph in this dataset is 1374 meV per atom. The value obtained for the uncorrected formation energy is 953.0 meV per atom. The value obtained for the magnetic moment is 1.00 μB per formula unit.

No. 2
NaCr2N3 | PBE | optimized geometry

a = 5.1757 Å, b = 5.7879 Å, c = 5.7879 Å
α = 119.72°, β = 90.00°, γ = 90.00°
Positions (direct):
N: 0.1583 0.6629 0.0899
Cr: 0.5096 0.0115 0.6679
N: 0.6583 0.9101 0.3371
Na: 0.5306 0.3259 0.3259
N: 0.0458 0.2452 0.2452
Cr: 0.0096 0.3321 0.9885
N: 0.1583 0.0899 0.6629
Na: 0.0306 0.6741 0.6741
Cr: 0.0096 0.9885 0.3321
N: 0.6583 0.3371 0.9101
Cr: 0.5096 0.6679 0.0115
N: 0.5458 0.7548 0.7548

Summary:
The value obtained for the uncorrected formation energy is -422.2 meV per atom. The value obtained for the magnetic moment is 3.93 μB per formula unit.

No. 3
NaCrN3 | PBE | optimized geometry

a = 3.7244 Å, b = 3.7244 Å, c = 3.7244 Å
α = 90.00°, β = 90.00°, γ = 90.00°
Positions (direct):
Cr: 0.0000 0.0000 0.0000
N: 0.0000 0.5000 0.0000
N: 0.0000 0.0000 0.5000
Na: 0.5000 0.5000 0.5000
N: 0.5000 0.0000 0.0000

Summary:
The value obtained for the uncorrected formation energy is 466.0 meV per atom. The value obtained for the magnetic moment is 0.61 μB per formula unit.

No. 4
Na5Cr2N5 | PBE | optimized geometry

a = 3.1776 Å, b = 5.7644 Å, c = 9.3049 Å
α = 66.57°, β = 80.17°, γ = 74.00°
Positions (direct):
Cr: 0.0295 0.7465 0.1946
Cr: 0.9705 0.2535 0.8054
N: 0.3813 0.4503 0.7870
N: 0.1003 0.1435 0.6559
Na: 0.6649 0.7527 0.9174
Na: 0.2284 0.1710 0.3722
Na: 0.7716 0.8290 0.6278
Na: 0.5000 0.5000 0.5000
N: 0.6187 0.5497 0.2130
Na: 0.3351 0.2473 0.0826
N: 0.8997 0.8565 0.3441
N: 0.0000 0.0000 0.0000

Summary:
The value obtained for the uncorrected formation energy is -278.5 meV per atom. The value obtained for the magnetic moment is 0.00 μB per formula unit.

No. 5
Na3CrN3 | PBE | optimized geometry

a = 6.1558 Å, b = 6.6544 Å, c = 9.7805 Å
α = 94.40°, β = 90.00°, γ = 90.00°
Positions (direct):
Na: 0.3087 0.6364 0.1964
N: 0.5561 0.8935 0.0996
N: 0.3390 0.7500 0.4634
N: 0.1610 0.7500 0.9634
N: 0.0515 0.3049 0.6845
N: 0.6610 0.2500 0.5366
N: 0.4439 0.1065 0.9004
Na: 0.6221 0.9422 0.3498
N: 0.8390 0.2500 0.0366
Na: 0.8087 0.3636 0.3036
Na: 0.1748 0.3659 0.9239
Na: 0.6913 0.3636 0.8036
N: 0.9439 0.8935 0.5996
Na: 0.8779 0.9422 0.8498
N: 0.4485 0.3049 0.1845
Na: 0.1913 0.6364 0.6964
Na: 0.6748 0.6341 0.5761
Na: 0.3779 0.0578 0.6502
Cr: 0.4161 0.8398 0.9363
Cr: 0.9161 0.1602 0.5637
Cr: 0.5839 0.1602 0.0637
Cr: 0.0839 0.8398 0.4363
Na: 0.8252 0.6341 0.0761
Na: 0.1221 0.0578 0.1502
N: 0.9485 0.6951 0.3155
Na: 0.3252 0.3659 0.4239
N: 0.5515 0.6951 0.8155
N: 0.0561 0.1065 0.4004

Summary:
The value obtained for the uncorrected formation energy is -332.2 meV per atom. The value obtained for the magnetic moment is 0.00 μB per formula unit.

No. 6
Na3Cr2N4 | PBE | optimized geometry

a = 5.4580 Å, b = 6.7406 Å, c = 6.7406 Å
α = 72.46°, β = 87.93°, γ = 87.93°
Positions (direct):
N: 0.0215 0.6808 0.0599
N: 0.3839 0.6154 0.7332
N: 0.6161 0.3846 0.2668
N: 0.1161 0.2668 0.3846
Na: 0.9617 0.9653 0.2456
N: 0.8839 0.7332 0.6154
Cr: 0.5714 0.8274 0.5936
Na: 0.7500 0.3968 0.6032
Cr: 0.4286 0.1726 0.4064
Na: 0.2500 0.6032 0.3968
Cr: 0.9286 0.4064 0.1726
Na: 0.4617 0.2456 0.9653
Na: 0.5383 0.7544 0.0347
N: 0.9785 0.3192 0.9401
N: 0.4785 0.9401 0.3192
N: 0.5215 0.0599 0.6808
Cr: 0.0714 0.5936 0.8274
Na: 0.0383 0.0347 0.7544

Summary:
The value obtained for the uncorrected formation energy is -409.1 meV per atom. The value obtained for the magnetic moment is 0.00 μB per formula unit.

No. 7
NaCrN | PBE | optimized geometry

a = 3.6809 Å, b = 3.6809 Å, c = 5.5090 Å
α = 90.00°, β = 90.00°, γ = 90.00°
Positions (direct):
Na: 0.0000 0.0000 0.5000
Na: 0.5000 0.5000 0.5000
N: 0.0000 0.5000 0.1538
Cr: 0.0000 0.0000 0.0000
N: 0.5000 0.0000 0.8462
Cr: 0.5000 0.5000 0.0000

Summary:
The value obtained for the energy above the most stable polymorph in this dataset is 187 meV per atom. The value obtained for the uncorrected formation energy is 8.0 meV per atom. The value obtained for the magnetic moment is 1.93 μB per formula unit.

No. 8
Na3CrN | PBE | optimized geometry

a = 5.8523 Å, b = 5.8523 Å, c = 5.8523 Å
α = 90.00°, β = 90.00°, γ = 90.00°
Positions (direct):
N: 0.5000 0.5000 0.5000
Na: 0.5000 0.0000 0.0000
Na: 0.0000 0.0000 0.5000
Cr: 0.0000 0.0000 0.0000
Na: 0.0000 0.5000 0.0000

Summary:
The value obtained for the energy above the most stable polymorph in this dataset is 850 meV per atom. The value obtained for the uncorrected formation energy is 1621.9 meV per atom. The value obtained for the magnetic moment is 7.32 μB per formula unit.

No. 9
NaCrN2 | PBE | optimized geometry

a = 5.1184 Å, b = 5.1184 Å, c = 5.5000 Å
α = 62.27°, β = 62.27°, γ = 90.00°
Positions (direct):
Cr: 0.7500 0.2500 0.5000
N: 0.7421 0.1250 0.2500
N: 0.0079 0.6250 0.2500
N: 0.3750 0.2579 0.7500
Na: 0.5000 0.5000 0.0000
Na: 0.2500 0.7500 0.5000
N: 0.8750 0.9921 0.7500
Cr: 0.0000 0.0000 0.0000

Summary:
The value obtained for the energy above the most stable polymorph in this dataset is 16 meV per atom. The value obtained for the uncorrected formation energy is -405.5 meV per atom. The value obtained for the magnetic moment is 1.00 μB per formula unit.

No. 10
NaCrN3 | PBE | optimized geometry

a = 3.8525 Å, b = 3.8525 Å, c = 3.8525 Å
α = 90.00°, β = 90.00°, γ = 90.00°
Positions (direct):
N: 0.5000 0.0000 0.0000
Na: 0.0000 0.0000 0.0000
N: 0.0000 0.0000 0.5000
N: 0.0000 0.5000 0.0000
Cr: 0.5000 0.5000 0.5000

Summary:
The value obtained for the uncorrected formation energy is 3078.6 meV per atom. The value obtained for the magnetic moment is 2.29 μB per formula unit.

No. 11
NaCrN | PBE | optimized geometry

a = 3.1647 Å, b = 5.8609 Å, c = 10.6454 Å
α = 90.00°, β = 90.00°, γ = 90.00°
Positions (direct):
Cr: 0.2500 0.3928 0.5613
Cr: 0.2500 0.1072 0.0613
N: 0.7500 0.5207 0.6152
Na: 0.7500 0.3744 0.8380
N: 0.2500 0.4793 0.3848
Na: 0.7500 0.1256 0.3380
N: 0.2500 0.0207 0.8848
Na: 0.2500 0.8744 0.6620
Cr: 0.7500 0.6072 0.4387
N: 0.7500 0.9793 0.1152
Na: 0.2500 0.6256 0.1620
Cr: 0.7500 0.8928 0.9387

Summary:
The value obtained for the energy above the most stable polymorph in this dataset is 137 meV per atom. The value obtained for the uncorrected formation energy is -42.4 meV per atom. The value obtained for the magnetic moment is 1.42 μB per formula unit.

No. 12
Na3Cr5N12 | PBE | optimized geometry

a = 10.8610 Å, b = 10.8610 Å, c = 10.8610 Å
α = 109.47°, β = 109.47°, γ = 109.47°
Positions (direct):
N: 0.5729 0.6753 0.6858
Cr: 0.0000 0.0000 0.0000
N: 0.3975 0.0105 0.8247
N: 0.1753 0.4895 0.6025
N: 0.3871 0.9895 0.3142
N: 0.8975 0.3247 0.5105
N: 0.6858 0.5105 0.6129
Cr: 0.6250 0.8750 0.2500
N: 0.6129 0.6025 0.4271
N: 0.1858 0.0729 0.6753
N: 0.4895 0.1753 0.1025
N: 0.8142 0.9271 0.3247
N: 0.5105 0.8247 0.8975
Na: 0.3750 0.7500 0.6250
N: 0.8247 0.5105 0.3975
N: 0.6025 0.9895 0.1753
N: 0.4271 0.1025 0.6129
N: 0.1129 0.1858 0.5105
N: 0.1858 0.1129 0.0105
N: 0.5729 0.8975 0.3871
Cr: 0.2500 0.3750 0.6250
N: 0.6129 0.0105 0.6858
N: 0.9271 0.1129 0.6025
N: 0.6753 0.5729 0.1858
N: 0.6858 0.1753 0.5729
N: 0.0729 0.8871 0.3975
Cr: 0.1250 0.3750 0.2500
N: 0.0105 0.3975 0.3247
Cr: 0.3750 0.1250 0.7500
N: 0.6025 0.6129 0.9271
Cr: 0.7500 0.1250 0.8750
N: 0.8247 0.3142 0.9271
Cr: 0.7500 0.6250 0.3750
N: 0.1129 0.9271 0.1025
Cr: 0.5000 0.0000 0.5000
Cr: 0.5000 0.5000 0.0000
Cr: 0.6250 0.7500 0.8750
Cr: 0.5000 0.5000 0.5000
N: 0.3871 0.3975 0.5729
Na: 0.6250 0.3750 0.7500
Na: 0.8750 0.1250 0.2500
N: 0.0105 0.6129 0.1858
N: 0.5105 0.6858 0.1129
Cr: 0.5000 0.0000 0.0000
N: 0.9895 0.3871 0.8142
Na: 0.2500 0.6250 0.8750
N: 0.0729 0.1858 0.1753
Cr: 0.0000 0.5000 0.5000
Cr: 0.3750 0.2500 0.1250
N: 0.1025 0.4271 0.1129
Na: 0.7500 0.3750 0.1250
Na: 0.6250 0.2500 0.3750
N: 0.6753 0.1025 0.9895
N: 0.3142 0.4895 0.3871
N: 0.8142 0.8871 0.9895
N: 0.9271 0.8142 0.8247
Na: 0.3750 0.6250 0.2500
N: 0.3142 0.8247 0.4271
Na: 0.1250 0.8750 0.7500
N: 0.4895 0.3142 0.8871
N: 0.4271 0.3247 0.3142
N: 0.3247 0.8975 0.0105
Cr: 0.8750 0.6250 0.7500
Cr: 0.8750 0.2500 0.6250
Na: 0.2500 0.1250 0.3750
Na: 0.7500 0.8750 0.6250
N: 0.3975 0.3871 0.0729
N: 0.8871 0.0729 0.8975
N: 0.1025 0.6753 0.4895
N: 0.8975 0.5729 0.8871
N: 0.9895 0.6025 0.6753
Cr: 0.2500 0.8750 0.1250
N: 0.1753 0.6858 0.0729
Na: 0.1250 0.2500 0.8750
Na: 0.8750 0.7500 0.1250
Cr: 0.0000 0.0000 0.5000
Cr: 0.0000 0.5000 0.0000
N: 0.8871 0.8142 0.4895
Cr: 0.1250 0.7500 0.3750
N: 0.3247 0.4271 0.8142

Summary:
The value obtained for the uncorrected formation energy is 193.3 meV per atom. The value obtained for the magnetic moment is 2.75 μB per formula unit.

No. 13
NaCr3N | PBE | optimized geometry

a = 3.9111 Å, b = 3.9111 Å, c = 3.9111 Å
α = 90.00°, β = 90.00°, γ = 90.00°
Positions (direct):
Na: 0.5000 0.5000 0.5000
N: 0.0000 0.0000 0.0000
Cr: 0.0000 0.0000 0.5000
Cr: 0.0000 0.5000 0.0000
Cr: 0.5000 0.0000 0.0000

Summary:
The value obtained for the energy above the most stable polymorph in this dataset is 0 meV per atom. The value obtained for the uncorrected formation energy is 441.5 meV per atom. The value obtained for the magnetic moment is 0.00 μB per formula unit.

No. 14
NaCrN2 | PBE | optimized geometry

a = 6.7278 Å, b = 6.7278 Å, c = 6.7278 Å
α = 24.77°, β = 24.77°, γ = 24.77°
Positions (direct):
Cr: 0.5000 0.5000 0.5000
N: 0.8873 0.8873 0.8873
Na: 0.0000 0.0000 0.0000
N: 0.1127 0.1127 0.1127

Summary:
The value obtained for the energy above the most stable polymorph in this dataset is 542 meV per atom. The value obtained for the uncorrected formation energy is 120.8 meV per atom. The value obtained for the magnetic moment is 1.01 μB per formula unit.

No. 15
Na3CrN | PBE | optimized geometry

a = 4.8226 Å, b = 4.8226 Å, c = 4.8226 Å
α = 90.00°, β = 90.00°, γ = 90.00°
Positions (direct):
N: 0.0000 0.0000 0.0000
Na: 0.0000 0.5000 0.0000
Na: 0.5000 0.0000 0.0000
Na: 0.0000 0.0000 0.5000
Cr: 0.5000 0.5000 0.5000

Summary:
The value obtained for the energy above the most stable polymorph in this dataset is 0 meV per atom. The value obtained for the uncorrected formation energy is 771.6 meV per atom. The value obtained for the magnetic moment is 6.00 μB per formula unit.

No. 16
NaCrN2 | PBE | optimized geometry

a = 3.7291 Å, b = 3.7291 Å, c = 3.7291 Å
α = 60.00°, β = 60.00°, γ = 60.00°
Positions (direct):
Na: 0.0000 0.0000 0.0000
N: 0.7500 0.7500 0.7500
Cr: 0.5000 0.5000 0.5000
N: 0.2500 0.2500 0.2500

Summary:
The value obtained for the energy above the most stable polymorph in this dataset is 1166 meV per atom. The value obtained for the uncorrected formation energy is 744.5 meV per atom. The value obtained for the magnetic moment is 1.57 μB per formula unit.

No. 17
NaCrN2 | PBE | optimized geometry

a = 5.4937 Å, b = 5.6213 Å, c = 7.1213 Å
α = 90.00°, β = 90.00°, γ = 90.00°
Positions (direct):
Na: 0.4941 0.9116 0.8764
Cr: 0.0085 0.0635 0.6279
Na: 0.4941 0.4116 0.6236
N: 0.9577 0.3726 0.6798
N: 0.8127 0.9815 0.4445
N: 0.3127 0.5185 0.9445
N: 0.4577 0.1274 0.1798
Na: 0.9941 0.5884 0.3764
N: 0.8127 0.4815 0.0555
Cr: 0.5085 0.9365 0.3721
N: 0.3127 0.0185 0.5555
N: 0.9577 0.8726 0.8202
Cr: 0.5085 0.4365 0.1279
Cr: 0.0085 0.5635 0.8721
Na: 0.9941 0.0884 0.1236
N: 0.4577 0.6274 0.3202

Summary:
The value obtained for the energy above the most stable polymorph in this dataset is 0 meV per atom. The value obtained for the uncorrected formation energy is -421.4 meV per atom. The value obtained for the magnetic moment is 0.00 μB per formula unit.

No. 18
Na2NdCr2N4 | PBE | optimized geometry

a = 3.3922 Å, b = 7.1081 Å, c = 8.6900 Å
α = 136.81°, β = 90.00°, γ = 103.80°
Positions (direct):
Cr: 0.3368 0.6737 0.0495
Na: 0.1366 0.2732 0.5369
N: 0.4750 0.9501 0.7620
N: 0.2331 0.4662 0.1187
N: 0.5250 0.0499 0.2380
N: 0.7669 0.5338 0.8813
Nd: 0.0000 0.0000 0.0000
Na: 0.8634 0.7268 0.4631
Cr: 0.6632 0.3263 0.9505

Summary:
The value obtained for the uncorrected formation energy is -570.1 meV per atom. The value obtained for the magnetic moment is 0.76 μB per formula unit.

No. 19
NaNpCrN3 | PBE | optimized geometry

a = 3.4567 Å, b = 6.8769 Å, c = 8.3458 Å
α = 100.87°, β = 90.00°, γ = 90.00°
Positions (direct):
N: 0.7500 0.8696 0.1674
N: 0.2500 0.8346 0.4323
Cr: 0.7500 0.9331 0.3952
Na: 0.2500 0.1612 0.1513
N: 0.7500 0.4460 0.1160
N: 0.2500 0.1304 0.8326
Np: 0.7500 0.3470 0.8437
Np: 0.2500 0.6530 0.1563
Cr: 0.2500 0.0669 0.6048
Na: 0.7500 0.8388 0.8487
N: 0.2500 0.5540 0.8840
N: 0.7500 0.1654 0.5677

Summary:
The value obtained for the uncorrected formation energy is -635.7 meV per atom. The value obtained for the magnetic moment is 3.93 μB per formula unit.